Entry from the Alexandria database: HoTmCoNi after structural relaxation (GGA-PBE).

## Properties
- energy above the lowest structure with this stoichiometry (eV per atom) = 0.000
- spin magnetization (μB/cell) = 0.000
- energy relative to the elements (eV per formula unit) = -1.4

abc: 3.9393 3.7945 10.3057
angles: 90.00 90.00 90.00
Space group Amm2 (No. 38)
Unique sites:
Ho1 0.0000 0.0000 0.0000 (multiplicity 2)
Tm1 0.5000 0.0000 0.7153 (multiplicity 2)
Co1 0.0000 0.0000 0.2863 (multiplicity 2)
Ni1 0.5000 0.0000 0.4240 (multiplicity 2)



Entry from the Alexandria database: La2Nd6Tm3Tl after structural relaxation (GGA-PBE).

## Properties
- spin magnetization (μB/cell) = 0.000
- energy relative to the elements (eV per formula unit) = -0.4

abc: 6.2146 10.7771 11.9655
angles: 90.00 100.01 90.00
Space group C2/m (No. 12)
Unique sites:
La1 0.0000 0.1663 0.0000 (multiplicity 4)
Nd1 0.2411 0.5000 0.7448 (multiplicity 4)
Nd2 0.2470 0.3372 0.2546 (multiplicity 8)
Tm1 0.0000 0.0000 0.5000 (multiplicity 2)
Tm2 0.0000 0.3330 0.5000 (multiplicity 4)
Tl1 0.0000 0.5000 0.0000 (multiplicity 2)



Entry from the Alexandria database: BaCu2Au after structural relaxation (GGA-PBE).

## Properties
- energy above the lowest structure with this stoichiometry (eV per atom) = 0.495
- spin magnetization (μB/cell) = 0.000
- energy relative to the elements (eV per formula unit) = 1.0

abc: 4.5265 4.5265 4.5953
angles: 90.00 90.00 90.00
Space group P4/mmm (No. 123)
Unique sites:
Ba1 0.0000 0.0000 0.0000 (multiplicity 1)
Cu1 0.0000 0.5000 0.5000 (multiplicity 2)
Au1 0.5000 0.5000 0.0000 (multiplicity 1)



Entry from the Alexandria database: GaReCl3 after structural relaxation (GGA-PBE).

## Properties
- energy above the lowest structure with this stoichiometry (eV per atom) = 0.000
- spin magnetization (μB/cell) = 2.564
- formation energy without anion corrections (eV/atom) = 0.0690

abc: 4.9163 4.9163 4.9163
angles: 90.00 90.00 90.00
Space group Pm-3m (No. 221)
Unique sites:
Ga1 0.0000 0.0000 0.0000 (multiplicity 1)
Re1 0.5000 0.5000 0.5000 (multiplicity 1)
Cl1 0.0000 0.5000 0.5000 (multiplicity 3)



Entry from the Alexandria database: GdCuIr after structural relaxation (GGA-PBE).

## Properties
- energy above the lowest structure with this stoichiometry (eV per atom) = 0.162
- spin magnetization (μB/cell) = 14.253
- energy relative to the elements (eV per formula unit) = -0.8

abc: 3.4414 3.4414 9.3067
angles: 90.00 90.00 90.00
Space group I4mm (No. 107)
Unique sites:
Gd1 0.0000 0.0000 0.0000 (multiplicity 2)
Cu1 0.0000 0.0000 0.3028 (multiplicity 2)
Ir1 0.0000 0.0000 0.6817 (multiplicity 2)



Entry from the Alexandria database: HgHCl3 after structural relaxation (GGA-PBE).

## Properties
- energy above the lowest structure with this stoichiometry (eV per atom) = 0.898
- spin magnetization (μB/cell) = 0.777

abc: 5.1816 5.1816 5.1816
angles: 90.00 90.00 90.00
Space group Pm-3m (No. 221)
Unique sites:
Hg1 0.0000 0.0000 0.0000 (multiplicity 1)
H1 0.5000 0.5000 0.5000 (multiplicity 1)
Cl1 0.0000 0.0000 0.5000 (multiplicity 3)



Entry from the Alexandria database: Dy8PdRh2 after structural relaxation (GGA-PBE).

## Properties
- spin magnetization (μB/cell) = 0.000
- energy relative to the elements (eV per formula unit) = -4.7

abc: 8.3094 12.6062 5.9587
angles: 90.00 108.19 90.00
Space group Cm (No. 8)
Unique sites:
Dy1 0.0000 0.0000 0.0000 (multiplicity 2)
Dy2 0.0733 0.3699 0.7841 (multiplicity 4)
Dy3 0.1548 0.1302 0.5853 (multiplicity 4)
Dy4 0.2305 0.5000 0.3635 (multiplicity 2)
Dy5 0.3654 0.2201 0.1807 (multiplicity 4)
Pd1 0.3635 0.0000 0.0318 (multiplicity 2)
Rh1 0.3638 0.3094 0.6814 (multiplicity 4)



Entry from the Alexandria database: LiHIrPd2 after structural relaxation (GGA-PBE).

## Properties
- energy above the lowest structure with this stoichiometry (eV per atom) = 0.000
- spin magnetization (μB/cell) = 0.000

abc: 4.0538 4.0538 3.7275
angles: 90.00 90.00 90.00
Space group P4/mmm (No. 123)
Unique sites:
Li1 0.0000 0.0000 0.0000 (multiplicity 1)
H1 0.5000 0.5000 0.5000 (multiplicity 1)
Ir1 0.5000 0.5000 0.0000 (multiplicity 1)
Pd1 0.0000 0.5000 0.5000 (multiplicity 2)